Material: Nb2HgAu2
Method: DFT, PBE-GGA
State: relaxed

a = 7.942 Å, b = 7.942 Å, c = 3.064 Å
α = 90.00°, β = 90.00°, γ = 90.00°
Sites, in units of the cell vectors:
Nb  0.172  0.328  0.000
Nb  0.328  0.828  0.000
Nb  0.672  0.172  0.000
Nb  0.828  0.672  0.000
Hg  0.000  0.000  0.500
Hg  0.500  0.500  0.500
Au  0.125  0.625  0.500
Au  0.375  0.125  0.500
Au  0.625  0.875  0.500
Au  0.875  0.375  0.500

ΔE to the lowest computed polymorph	0	meV per atom
formation energy	0.1905	eV/atom



Material: NbHgAu2
Method: DFT, PBE-GGA
State: relaxed

a = 2.998 Å, b = 2.998 Å, c = 29.644 Å
α = 90.00°, β = 90.00°, γ = 120.00°
Sites, in units of the cell vectors:
Nb  0.000  0.000  0.000
Nb  0.333  0.667  0.667
Nb  0.667  0.333  0.333
Hg  0.000  0.000  0.500
Hg  0.333  0.667  0.167
Hg  0.667  0.333  0.833
Au  0.000  0.000  0.255
Au  0.000  0.000  0.745
Au  0.333  0.667  0.412
Au  0.333  0.667  0.922
Au  0.667  0.333  0.078
Au  0.667  0.333  0.588

formation energy	0.0530	eV/atom



Material: NbHgAu2
Method: DFT, PBE-GGA
State: relaxed

a = 3.025 Å, b = 3.025 Å, c = 8.320 Å
α = 90.00°, β = 90.00°, γ = 90.00°
Sites, in units of the cell vectors:
Nb  0.000  0.000  0.000
Hg  0.000  0.000  0.500
Au  0.500  0.500  0.232
Au  0.500  0.500  0.768

formation energy	-0.0363	eV/atom



Material: NbHg2Au
Method: DFT, PBE-GGA
State: relaxed

a = 2.963 Å, b = 2.963 Å, c = 33.399 Å
α = 90.00°, β = 90.00°, γ = 120.00°
Sites, in units of the cell vectors:
Nb  0.000  0.000  0.000
Nb  0.333  0.667  0.667
Nb  0.667  0.333  0.333
Hg  0.000  0.000  0.088
Hg  0.000  0.000  0.912
Hg  0.333  0.667  0.578
Hg  0.333  0.667  0.755
Hg  0.667  0.333  0.245
Hg  0.667  0.333  0.422
Au  0.000  0.000  0.500
Au  0.333  0.667  0.167
Au  0.667  0.333  0.833

ΔE to the lowest computed polymorph	75	meV per atom
formation energy	0.4483	eV/atom



Material: NbHg2Au
Method: DFT, PBE-GGA
State: relaxed

a = 7.713 Å, b = 7.713 Å, c = 5.851 Å
α = 90.00°, β = 90.00°, γ = 90.00°
Sites, in units of the cell vectors:
Nb  0.000  0.000  0.000
Nb  0.000  0.500  0.250
Nb  0.500  0.000  0.750
Nb  0.500  0.500  0.500
Hg  0.247  0.250  0.625
Hg  0.250  0.747  0.875
Hg  0.250  0.753  0.375
Hg  0.253  0.250  0.125
Hg  0.747  0.750  0.125
Hg  0.750  0.247  0.375
Hg  0.750  0.253  0.875
Hg  0.753  0.750  0.625
Au  0.000  0.000  0.500
Au  0.000  0.500  0.750
Au  0.500  0.000  0.250
Au  0.500  0.500  0.000

ΔE to the lowest computed polymorph	135	meV per atom
formation energy	0.5086	eV/atom



Material: Nb3HgAu
Method: DFT, PBE-GGA
State: relaxed

a = 4.976 Å, b = 4.976 Å, c = 4.976 Å
α = 90.00°, β = 90.00°, γ = 90.00°
Sites, in units of the cell vectors:
Nb  0.000  0.000  0.500
Nb  0.000  0.500  0.000
Nb  0.500  0.000  0.000
Hg  0.500  0.500  0.500
Au  0.000  0.000  0.000

ΔE to the lowest computed polymorph	0	meV per atom
formation energy	1.4438	eV/atom



Material: Nb2HgAu
Method: DFT, PBE-GGA
State: relaxed

a = 7.611 Å, b = 7.611 Å, c = 5.606 Å
α = 90.00°, β = 90.00°, γ = 90.00°
Sites, in units of the cell vectors:
Nb  0.238  0.250  0.125
Nb  0.250  0.738  0.375
Nb  0.250  0.762  0.875
Nb  0.262  0.250  0.625
Nb  0.738  0.750  0.625
Nb  0.750  0.238  0.875
Nb  0.750  0.262  0.375
Nb  0.762  0.750  0.125
Hg  0.000  0.000  0.500
Hg  0.000  0.500  0.750
Hg  0.500  0.000  0.250
Hg  0.500  0.500  0.000
Au  0.000  0.000  0.000
Au  0.000  0.500  0.250
Au  0.500  0.000  0.750
Au  0.500  0.500  0.500

formation energy	0.5137	eV/atom



Material: NbHg2Au
Method: DFT, PBE-GGA
State: relaxed

a = 6.815 Å, b = 6.815 Å, c = 6.815 Å
α = 90.00°, β = 90.00°, γ = 90.00°
Sites, in units of the cell vectors:
Nb  0.000  0.000  0.000
Nb  0.000  0.500  0.500
Nb  0.500  0.000  0.500
Nb  0.500  0.500  0.000
Hg  0.250  0.250  0.250
Hg  0.250  0.250  0.750
Hg  0.250  0.750  0.250
Hg  0.250  0.750  0.750
Hg  0.750  0.250  0.250
Hg  0.750  0.250  0.750
Hg  0.750  0.750  0.250
Hg  0.750  0.750  0.750
Au  0.000  0.000  0.500
Au  0.000  0.500  0.000
Au  0.500  0.000  0.000
Au  0.500  0.500  0.500

ΔE to the lowest computed polymorph	0	meV per atom
formation energy	0.3735	eV/atom



Material: NbHgPb2Au
Method: DFT, PBE-GGA
State: relaxed

a = 5.520 Å, b = 5.520 Å, c = 5.197 Å
α = 90.00°, β = 90.00°, γ = 90.00°
Sites, in units of the cell vectors:
Nb  0.000  0.000  0.000
Hg  0.500  0.500  0.000
Pb  0.000  0.500  0.500
Pb  0.500  0.000  0.500
Au  0.500  0.500  0.500

formation energy	1.0028	eV/atom



Material: NbHg2PbAu
Method: DFT, PBE-GGA
State: relaxed

a = 5.553 Å, b = 5.553 Å, c = 5.736 Å
α = 90.00°, β = 90.00°, γ = 90.00°
Sites, in units of the cell vectors:
Nb  0.000  0.000  0.000
Hg  0.000  0.500  0.500
Hg  0.500  0.000  0.500
Pb  0.000  0.000  0.500
Au  0.500  0.500  0.000

formation energy	1.2271	eV/atom



Material: Nb2HgAuS
Method: DFT, PBE-GGA
State: relaxed

a = 5.242 Å, b = 5.242 Å, c = 5.003 Å
α = 90.00°, β = 90.00°, γ = 90.00°
Sites, in units of the cell vectors:
Nb  0.000  0.500  0.000
Nb  0.500  0.000  0.000
Hg  0.000  0.000  0.000
Au  0.000  0.000  0.500
S  0.500  0.500  0.500

raw formation energy	1714	meV per atom
ΔE to the lowest computed polymorph	0	meV per atom



Material: Nb2HgAuS
Method: DFT, PBE-GGA
State: relaxed

a = 5.185 Å, b = 5.185 Å, c = 4.735 Å
α = 90.00°, β = 90.00°, γ = 90.00°
Sites, in units of the cell vectors:
Nb  0.000  0.500  0.000
Nb  0.500  0.000  0.000
Hg  0.000  0.000  0.000
Au  0.500  0.500  0.500
S  0.000  0.000  0.500

raw formation energy	1802	meV per atom
ΔE to the lowest computed polymorph	88	meV per atom



Please write out number 9 again, unchanged.
Material: NbHgPb2Au
Method: DFT, PBE-GGA
State: relaxed

a = 5.520 Å, b = 5.520 Å, c = 5.197 Å
α = 90.00°, β = 90.00°, γ = 90.00°
Sites, in units of the cell vectors:
Nb  0.000  0.000  0.000
Hg  0.500  0.500  0.000
Pb  0.000  0.500  0.500
Pb  0.500  0.000  0.500
Au  0.500  0.500  0.500

formation energy	1.0028	eV/atom